# BaBeTc PBE relaxed
# energy = -4.01 eV per atom
# total moment = 3.8 μB per cell
data_BaBeTc
_chemical_formula_sum 'Ba4 Be4 Tc4'
_space_group_name_H-M_alt 'F -4 3 m'
_space_group_IT_number 216
_space_group_name_Hall 'F -4 2 3'
_cell_length_a 6.522
_cell_length_b 6.522
_cell_length_c 6.522
_cell_angle_alpha 90.00
_cell_angle_beta 90.00
_cell_angle_gamma 90.00
loop_
_atom_site_label
_atom_site_type_symbol
_atom_site_fract_x
_atom_site_fract_y
_atom_site_fract_z
_atom_site_occupancy
Ba1 Ba 0.000 0.000 0.000 1
Be1 Be 0.000 0.000 0.500 1
Tc1 Tc 0.250 0.250 0.250 1

# BaTmBe PBE relaxed
# energy = -2.76 eV per atom
# total moment = 0.1 μB per cell
data_BaTmBe
_chemical_formula_sum 'Ba4 Tm4 Be4'
_space_group_name_H-M_alt 'F -4 3 m'
_space_group_IT_number 216
_space_group_name_Hall 'F -4 2 3'
_cell_length_a 7.303
_cell_length_b 7.303
_cell_length_c 7.303
_cell_angle_alpha 90.00
_cell_angle_beta 90.00
_cell_angle_gamma 90.00
loop_
_atom_site_label
_atom_site_type_symbol
_atom_site_fract_x
_atom_site_fract_y
_atom_site_fract_z
_atom_site_occupancy
Ba1 Ba 0.000 0.000 0.000 1
Tm1 Tm 0.000 0.000 0.500 1
Be1 Be 0.250 0.250 0.250 1

# BaBeW PBE relaxed
# energy = -4.44 eV per atom
# total moment = 10.1 μB per cell
data_BaBeW
_chemical_formula_sum 'Ba4 Be4 W4'
_space_group_name_H-M_alt 'F -4 3 m'
_space_group_IT_number 216
_space_group_name_Hall 'F -4 2 3'
_cell_length_a 6.699
_cell_length_b 6.699
_cell_length_c 6.699
_cell_angle_alpha 90.00
_cell_angle_beta 90.00
_cell_angle_gamma 90.00
loop_
_atom_site_label
_atom_site_type_symbol
_atom_site_fract_x
_atom_site_fract_y
_atom_site_fract_z
_atom_site_occupancy
Ba1 Ba 0.000 0.000 0.000 1
Be1 Be 0.250 0.250 0.250 1
W1 W 0.000 0.000 0.500 1

# BaBeZn PBE relaxed
# energy = -1.45 eV per atom
data_BaBeZn
_chemical_formula_sum 'Ba4 Be4 Zn4'
_space_group_name_H-M_alt 'F -4 3 m'
_space_group_IT_number 216
_space_group_name_Hall 'F -4 2 3'
_cell_length_a 7.400
_cell_length_b 7.400
_cell_length_c 7.400
_cell_angle_alpha 90.00
_cell_angle_beta 90.00
_cell_angle_gamma 90.00
loop_
_atom_site_label
_atom_site_type_symbol
_atom_site_fract_x
_atom_site_fract_y
_atom_site_fract_z
_atom_site_occupancy
Ba1 Ba 0.000 0.000 0.000 1
Be1 Be 0.250 0.250 0.750 1
Zn1 Zn 0.250 0.250 0.250 1

# Ba2BeZn PBE relaxed
# energy = -1.82 eV per atom
data_Ba2BeZn
_chemical_formula_sum 'Ba8 Be4 Zn4'
_space_group_name_H-M_alt 'F -4 3 m'
_space_group_IT_number 216
_space_group_name_Hall 'F -4 2 3'
_cell_length_a 7.654
_cell_length_b 7.654
_cell_length_c 7.654
_cell_angle_alpha 90.00
_cell_angle_beta 90.00
_cell_angle_gamma 90.00
loop_
_atom_site_label
_atom_site_type_symbol
_atom_site_fract_x
_atom_site_fract_y
_atom_site_fract_z
_atom_site_occupancy
Ba1 Ba 0.000 0.000 0.000 1
Ba2 Ba 0.250 0.250 0.250 1
Be1 Be 0.000 0.000 0.500 1
Zn1 Zn 0.250 0.250 0.750 1

# BaBe2Zn PBE relaxed
# energy = -1.98 eV per atom
data_BaBe2Zn
_chemical_formula_sum 'Ba4 Be8 Zn4'
_space_group_name_H-M_alt 'F -4 3 m'
_space_group_IT_number 216
_space_group_name_Hall 'F -4 2 3'
_cell_length_a 6.915
_cell_length_b 6.915
_cell_length_c 6.915
_cell_angle_alpha 90.00
_cell_angle_beta 90.00
_cell_angle_gamma 90.00
loop_
_atom_site_label
_atom_site_type_symbol
_atom_site_fract_x
_atom_site_fract_y
_atom_site_fract_z
_atom_site_occupancy
Ba1 Ba 0.000 0.000 0.000 1
Be1 Be 0.000 0.000 0.500 1
Be2 Be 0.250 0.250 0.750 1
Zn1 Zn 0.250 0.250 0.250 1

# Ba2ZrBe PBE relaxed
# energy = -3.14 eV per atom
# total moment = 8.0 μB per cell
data_Ba2ZrBe
_chemical_formula_sum 'Ba8 Zr4 Be4'
_space_group_name_H-M_alt 'F -4 3 m'
_space_group_IT_number 216
_space_group_name_Hall 'F -4 2 3'
_cell_length_a 7.851
_cell_length_b 7.851
_cell_length_c 7.851
_cell_angle_alpha 90.00
_cell_angle_beta 90.00
_cell_angle_gamma 90.00
loop_
_atom_site_label
_atom_site_type_symbol
_atom_site_fract_x
_atom_site_fract_y
_atom_site_fract_z
_atom_site_occupancy
Ba1 Ba 0.000 0.000 0.000 1
Ba2 Ba 0.250 0.250 0.250 1
Zr1 Zr 0.000 0.000 0.500 1
Be1 Be 0.250 0.250 0.750 1

# Ba2CdBi2 PBE relaxed
# energy = -2.95 eV per atom
data_Ba2CdBi2
_chemical_formula_sum 'Ba4 Cd2 Bi4'
_space_group_name_H-M_alt 'I 4/m m m'
_space_group_IT_number 139
_space_group_name_Hall '-I 4 2'
_cell_length_a 4.739
_cell_length_b 4.739
_cell_length_c 18.159
_cell_angle_alpha 90.00
_cell_angle_beta 90.00
_cell_angle_gamma 90.00
loop_
_atom_site_label
_atom_site_type_symbol
_atom_site_fract_x
_atom_site_fract_y
_atom_site_fract_z
_atom_site_occupancy
Ba1 Ba 0.000 0.000 0.104 1
Cd1 Cd 0.000 0.000 0.500 1
Bi1 Bi 0.000 0.500 0.250 1

# Ba11Cd8Bi14 PBE relaxed
# energy = -3.24 eV per atom
data_Ba11Cd8Bi14
_chemical_formula_sum 'Ba22 Cd16 Bi28'
_space_group_name_H-M_alt 'C 1 2/m 1'
_space_group_IT_number 12
_space_group_name_Hall '-C 2y'
_cell_length_a 28.596
_cell_length_b 4.993
_cell_length_c 17.054
_cell_angle_alpha 90.00
_cell_angle_beta 91.40
_cell_angle_gamma 90.00
loop_
_atom_site_label
_atom_site_type_symbol
_atom_site_fract_x
_atom_site_fract_y
_atom_site_fract_z
_atom_site_occupancy
Ba1 Ba 0.000 0.000 0.000 1
Ba2 Ba 0.009 0.500 0.365 1
Ba3 Ba 0.119 0.000 0.161 1
Ba4 Ba 0.145 0.500 0.536 1
Ba5 Ba 0.155 0.000 0.903 1
Ba6 Ba 0.245 0.000 0.702 1
Cd1 Cd 0.060 0.500 0.844 1
Cd2 Cd 0.095 0.000 0.688 1
Cd3 Cd 0.122 0.000 0.389 1
Cd4 Cd 0.202 0.500 0.042 1
Bi1 Bi 0.009 0.000 0.791 1
Bi2 Bi 0.057 0.000 0.521 1
Bi3 Bi 0.093 0.500 0.015 1
Bi4 Bi 0.132 0.500 0.303 1
Bi5 Bi 0.150 0.500 0.742 1
Bi6 Bi 0.228 0.000 0.459 1
Bi7 Bi 0.244 0.000 0.118 1

# Ba2CdBi PBE relaxed
# energy = -2.48 eV per atom
data_Ba2CdBi
_chemical_formula_sum 'Ba8 Cd4 Bi4'
_space_group_name_H-M_alt 'F -4 3 m'
_space_group_IT_number 216
_space_group_name_Hall 'F -4 2 3'
_cell_length_a 8.503
_cell_length_b 8.503
_cell_length_c 8.503
_cell_angle_alpha 90.00
_cell_angle_beta 90.00
_cell_angle_gamma 90.00
loop_
_atom_site_label
_atom_site_type_symbol
_atom_site_fract_x
_atom_site_fract_y
_atom_site_fract_z
_atom_site_occupancy
Ba1 Ba 0.000 0.000 0.000 1
Ba2 Ba 0.250 0.250 0.250 1
Cd1 Cd 0.000 0.000 0.500 1
Bi1 Bi 0.250 0.250 0.750 1

# CsKBaCdBi2 PBE relaxed
# energy = -2.67 eV per atom
data_CsKBaCdBi2
_chemical_formula_sum 'Cs2 K2 Ba2 Cd2 Bi4'
_space_group_name_H-M_alt 'P m c 21'
_space_group_IT_number 26
_space_group_name_Hall 'P 2c -2'
_cell_length_a 5.274
_cell_length_b 10.963
_cell_length_c 8.828
_cell_angle_alpha 90.00
_cell_angle_beta 90.00
_cell_angle_gamma 90.00
loop_
_atom_site_label
_atom_site_type_symbol
_atom_site_fract_x
_atom_site_fract_y
_atom_site_fract_z
_atom_site_occupancy
Cs1 Cs 0.000 0.154 0.000 1
K1 K 0.500 0.115 0.337 1
Ba1 Ba 0.000 0.458 0.336 1
Cd1 Cd 0.500 0.334 0.678 1
Bi1 Bi 0.000 0.198 0.588 1
Bi2 Bi 0.500 0.396 0.049 1

# K2BaCdBiSb PBE relaxed
# energy = -2.80 eV per atom
data_K2BaCdBiSb
_chemical_formula_sum 'K4 Ba2 Cd2 Bi2 Sb2'
_space_group_name_H-M_alt 'P m c 21'
_space_group_IT_number 26
_space_group_name_Hall 'P 2c -2'
_cell_length_a 5.142
_cell_length_b 10.117
_cell_length_c 8.651
_cell_angle_alpha 90.00
_cell_angle_beta 90.00
_cell_angle_gamma 90.00
loop_
_atom_site_label
_atom_site_type_symbol
_atom_site_fract_x
_atom_site_fract_y
_atom_site_fract_z
_atom_site_occupancy
K1 K 0.000 0.083 0.000 1
K2 K 0.500 0.166 0.678 1
Ba1 Ba 0.500 0.451 0.027 1
Cd1 Cd 0.000 0.326 0.372 1
Bi1 Bi 0.500 0.177 0.282 1
Sb1 Sb 0.000 0.389 0.738 1